## TmCr2IrO8 (PBE with a Hubbard U)

Data for a geometry-optimized TmCr2IrO8 structure.

```
12
Lattice="3.3018 -3.3292 0.0000 3.3018 3.3292 0.0000 0.0000 0.0000 6.2605" Properties=species:S:1:pos:R:3 pbc="T T T"
Tm 0.0000 0.0000 0.0000
Cr 3.3018 0.0000 1.5529
Cr 3.3018 0.0000 4.7075
Ir 0.0000 0.0000 3.1302
O 1.3575 0.0000 1.7388
O 1.3575 0.0000 4.5216
O 3.3018 1.3666 3.1302
O 3.3018 1.1858 0.0000
O 3.3018 -1.1858 0.0000
O 3.3018 -1.3666 3.1302
O 5.2462 0.0000 1.7388
O 5.2462 0.0000 4.5216
```

Total magnetization: 3.75 μB/cell
V: 11.47 A^3/atom
Symmetry: Cmmm (65)
Total energy: -7.38 eV per atom